Compound: InBSb2Te
Source: Alexandria
Functional: GGA-PBEsol
Structure: relaxed

Cell lengths 5.104, 4.781, 4.781 Å; angles 90.00, 90.00, 90.00 degrees
Atoms (fractional coordinates):
Sb: 0.000 0.000 0.500
Sb: 0.000 0.500 0.000
B: 0.000 0.000 0.000
Te: 0.500 0.000 0.000
In: 0.500 0.500 0.500

Magnetic moment ... 0.0 μB/cell
Formation energy (no corrections) ... 564 meV/atom

Compound: Sc2AlI
Source: Alexandria
Functional: GGA-PBEsol
Structure: relaxed

Cell lengths 5.949, 5.949, 8.410 Å; angles 110.71, 110.71, 90.00 degrees
Atoms (fractional coordinates):
I: 0.250 0.750 0.500
I: 0.000 0.000 0.000
Sc: 0.836 0.375 0.250
Sc: 0.414 0.875 0.250
Sc: 0.625 0.586 0.750
Sc: 0.125 0.164 0.750
Al: 0.750 0.250 0.500
Al: 0.500 0.500 0.000

Magnetic moment ... 0.0 μB/cell
Formation energy (no corrections) ... 251 meV/atom

Compound: InCo3B
Source: Alexandria
Functional: GGA-PBEsol
Structure: relaxed

Cell lengths 3.825, 3.825, 3.825 Å; angles 90.00, 90.00, 90.00 degrees
Site moments in Bohr magnetons follow the coordinates.
Atoms (fractional coordinates):
B: 0.000 0.000 0.000  -0.04
Co: 0.000 0.500 0.000  0.41
Co: 0.000 0.000 0.500  0.41
Co: 0.500 0.000 0.000  0.41
In: 0.500 0.500 0.500  -0.04

Formation energy from the elements ... -121 meV/atom
Magnetic moment ... 1.1 μB/cell

Compound: TlRe2Pb
Source: Alexandria
Functional: GGA-PBEsol
Structure: relaxed

Cell lengths 3.108, 4.730, 6.410 Å; angles 111.65, 104.03, 90.00 degrees
Atoms (fractional coordinates):
Pb: 0.282 0.782 0.563
Re: 0.034 0.034 0.068
Re: 0.693 0.193 0.385
Tl: 0.492 0.492 0.983

Formation energy from the elements ... 982 meV/atom
Magnetic moment ... 0.0 μB/cell

Compound: LaSc2
Source: Alexandria
Functional: GGA-PBEsol
Structure: relaxed

Cell lengths 5.883, 5.883, 6.357 Å; angles 62.44, 62.44, 60.00 degrees
Atoms (fractional coordinates):
Sc: 0.000 0.000 0.000
Sc: 0.838 0.162 0.500
Sc: 0.162 0.500 0.500
Sc: 0.500 0.838 0.500
La: 0.335 0.335 0.996
La: 0.665 0.665 0.004

Formation energy from the elements ... 87 meV/atom
Magnetic moment ... 0.0 μB/cell
ΔE to the lowest computed polymorph ... 30.2 meV per atom

Compound: GaHgH2
Source: Alexandria
Functional: GGA-PBEsol
Structure: relaxed

Cell lengths 5.663, 5.663, 5.663 Å; angles 60.00, 60.00, 60.00 degrees
Atoms (fractional coordinates):
H: 0.125 0.125 0.625
H: 0.125 0.125 0.125
H: 0.625 0.125 0.125
H: 0.125 0.625 0.125
Hg: 0.750 0.750 0.750
Hg: 0.500 0.500 0.500
Ga: 0.250 0.250 0.250
Ga: 0.000 0.000 0.000

Magnetic moment ... 0.0 μB/cell

Compound: OsAu
Source: Alexandria
Functional: GGA-PBEsol
Structure: relaxed

Cell lengths 2.774, 2.774, 9.148 Å; angles 90.00, 90.00, 120.00 degrees
Atoms (fractional coordinates):
Au: 0.000 0.000 0.000
Au: 0.000 0.000 0.500
Os: 0.667 0.333 0.750
Os: 0.333 0.667 0.250

Formation energy from the elements ... 655 meV/atom
Magnetic moment ... 0.0 μB/cell

Compound: CeAlSi
Source: Alexandria
Functional: GGA-PBEsol
Structure: relaxed

Cell lengths 4.145, 4.145, 7.831 Å; angles 105.35, 105.35, 90.00 degrees
Site moments in Bohr magnetons follow the coordinates.
Atoms (fractional coordinates):
Si: 0.083 0.583 0.167  0.00
Si: 0.833 0.833 0.667  0.00
Al: 0.917 0.417 0.835  0.01
Al: 0.667 0.667 0.335  0.01
Ce: 0.501 0.001 0.002  0.70
Ce: 0.251 0.251 0.502  0.70

Magnetic moment ... 1.7 μB/cell
Formation energy (no corrections) ... -561 meV/atom

no.,calculated total energy (eV per atom)
1,-3.964
2,-4.516
3,-6.763
4,-7.341
5,-6.099
6,-2.378
7,-7.415
8,-6.039